Entry 1:
Ba2CuS2O2 | PBE | optimized geometry

a b c (Å): 4.151 4.151 8.548
angles (deg): 90.00 90.00 90.00
Fractional positions:
S  0.000  0.000  0.877
S  0.000  0.000  0.123
O  0.500  0.000  0.500
O  0.000  0.500  0.500
Cu  0.000  0.000  0.500
Ba  0.500  0.500  0.715
Ba  0.500  0.500  0.285

Output
The space group is P4/mmm (123). The uncorrected energy is -5.23 eV/atom. The calculation puts the uncorrected formation energy at -1.50 eV per atom.

=====

Entry 2:
Nd2PdAu | PBE | optimized geometry

a b c (Å): 4.750 5.855 7.836
angles (deg): 109.70 90.00 90.00
Fractional positions:
Au  0.250  0.329  0.209
Au  0.750  0.671  0.791
Nd  0.250  0.779  0.567
Nd  0.750  0.229  0.929
Nd  0.250  0.771  0.071
Nd  0.750  0.221  0.433
Pd  0.750  0.668  0.293
Pd  0.250  0.332  0.707

Output
The value obtained for the energy of formation is -0.805 eV/atom. The space group is P2_1/m (11). The uncorrected energy is -5.31 eV/atom.

=====

Entry 3:
LaP2Pt | PBE | optimized geometry

a b c (Å): 4.979 4.979 5.963
angles (deg): 53.50 53.50 47.07
Fractional positions:
La  0.250  0.250  0.250
P  0.062  0.062  0.937
P  0.438  0.438  0.563
Pt  0.750  0.750  0.750

Output
The value obtained for the energy of formation is -0.951 eV/atom. The space group is C2/m (12). The uncorrected energy is -6.40 eV/atom.

=====

Entry 4:
Na4CdI2 | PBE | optimized geometry

a b c (Å): 5.943 5.943 9.201
angles (deg): 71.16 71.16 90.00
Last column: magnetic moment on the atom in μB.
Fractional positions:
Na  0.500  0.000  0.000  0.00
Na  0.811  0.811  0.378  0.02
Na  0.000  0.500  0.000  0.00
Na  0.189  0.189  0.622  0.02
Cd  0.000  0.000  0.000  0.06
I  0.374  0.374  0.253  0.02
I  0.626  0.626  0.747  0.02

Output
The space group is I4/mmm (139). The uncorrected energy is -1.75 eV/atom. The calculation puts the uncorrected formation energy at -0.43 eV per atom.

=====

Entry 5:
K3PtF6 | PBE | optimized geometry

a b c (Å): 6.189 8.175 8.175
angles (deg): 95.64 90.00 90.00
Last column: magnetic moment on the atom in μB.
Fractional positions:
F  0.314  0.038  0.962  0.03
F  0.226  0.818  0.182  0.00
F  0.668  0.638  0.686  0.02
F  0.168  0.362  0.314  0.02
F  0.642  0.662  0.106  0.13
F  0.142  0.338  0.894  0.13
F  0.668  0.314  0.362  0.02
F  0.642  0.894  0.338  0.13
F  0.814  0.962  0.038  0.03
F  0.726  0.182  0.818  0.00
F  0.142  0.106  0.662  0.13
F  0.168  0.686  0.638  0.02
Pt  0.005  0.108  0.892  0.65
Pt  0.505  0.892  0.108  0.65
K  0.963  0.113  0.370  0.00
K  0.893  0.589  0.411  0.00
K  0.463  0.887  0.630  0.00
K  0.393  0.411  0.589  0.00
K  0.463  0.370  0.113  0.00
K  0.963  0.630  0.887  0.00

Output
The space group is Cmc2_1 (36). The uncorrected energy is -4.06 eV/atom. The calculation puts the uncorrected formation energy at -2.01 eV per atom.

=====

Entry 6:
CuTc | PBE | optimized geometry

a b c (Å): 3.745 4.607 3.766
angles (deg): 65.87 90.00 114.08
Fractional positions:
Cu  0.916  0.999  0.000
Cu  0.168  0.501  0.250
Tc  0.416  0.000  0.500
Tc  0.667  0.500  0.750

Output
The value obtained for the energy of formation is 0.181 eV/atom. The space group is C2/m (12). The uncorrected energy is -7.05 eV/atom.

=====

Entry 7:
SiNiAg | PBE | optimized geometry

a b c (Å): 4.039 4.039 4.039
angles (deg): 60.00 60.00 60.00
Fractional positions:
Ni  0.500  0.500  0.500
Si  0.750  0.750  0.750
Ag  0.000  0.000  0.000

Output
The space group is F-43m (216). The uncorrected energy is -4.59 eV/atom. The calculation puts the uncorrected formation energy at 0.09 eV per atom.

=====

Entry 8:
CaTl2Ir | PBE | optimized geometry

a b c (Å): 5.956 5.956 5.960
angles (deg): 46.43 46.43 46.36
Fractional positions:
Tl  0.946  0.946  0.946
Tl  0.726  0.726  0.726
Ir  0.320  0.320  0.321
Ca  0.508  0.508  0.507

Output
The value obtained for the energy of formation is -0.065 eV/atom. The space group is Cm (8). The uncorrected energy is -3.96 eV/atom.

=====

Entry 9:
Ho2HfB2Ru5 | PBE | optimized geometry

a b c (Å): 3.153 9.720 9.720
angles (deg): 90.00 90.00 90.00
Fractional positions:
Ru  0.500  0.500  0.000
Ru  0.500  0.071  0.778
Ru  0.500  0.929  0.222
Ru  0.500  0.778  0.929
Ru  0.500  0.722  0.429
Ru  0.500  0.000  0.500
Ru  0.500  0.571  0.722
Ru  0.500  0.222  0.071
Ru  0.500  0.429  0.278
Ru  0.500  0.278  0.571
Ho  0.000  0.825  0.675
Ho  0.000  0.325  0.825
Ho  0.000  0.175  0.325
Ho  0.000  0.675  0.175
B  0.000  0.121  0.621
B  0.000  0.879  0.379
B  0.000  0.621  0.879
B  0.000  0.379  0.121
Hf  0.000  0.500  0.500
Hf  0.000  0.000  0.000

Output
The value obtained for the energy of formation is -0.541 eV/atom. The space group is P4/mbm (127). The uncorrected energy is -8.43 eV/atom.

=====

Entry 10:
Fe4C3 | PBE | optimized geometry

a b c (Å): 4.150 4.150 4.150
angles (deg): 90.00 90.00 90.00
Last column: magnetic moment on the atom in μB.
Fractional positions:
Fe  0.763  0.237  0.237  1.07
Fe  0.763  0.763  0.763  1.07
Fe  0.237  0.763  0.237  1.07
Fe  0.237  0.237  0.763  1.07
C  0.500  0.500  0.000  -0.09
C  0.000  0.500  0.500  -0.09
C  0.500  0.000  0.500  -0.09

Output
The value obtained for the energy of formation is 0.669 eV/atom. The space group is P-43m (215). The uncorrected energy is -8.12 eV/atom.

=====

Entry 11:
BaCa2Ir | PBE | optimized geometry

a b c (Å): 4.302 6.959 9.435
angles (deg): 90.00 90.00 108.02
Fractional positions:
Ca  0.338  0.675  0.570
Ca  0.338  0.675  0.930
Ca  0.662  0.325  0.430
Ca  0.662  0.325  0.070
Ba  0.927  0.855  0.250
Ba  0.073  0.145  0.750
Ir  0.251  0.501  0.250
Ir  0.749  0.499  0.750

Output
The value obtained for the energy of formation is -0.239 eV/atom. The space group is Cmcm (63). The uncorrected energy is -3.94 eV/atom.

=====

Entry 12:
Be2HgAs | PBE | optimized geometry

a b c (Å): 3.329 3.329 6.287
angles (deg): 90.00 90.00 90.00
Fractional positions:
Be  0.000  0.000  0.931
Be  0.500  0.500  0.262
As  0.500  0.500  0.907
Hg  0.000  0.000  0.400

Output
The value obtained for the energy of formation is 0.393 eV/atom. The space group is P4mm (99). The uncorrected energy is -2.71 eV/atom.